This record from the Alexandria database describes a relaxed LiCe2As4 crystal. The functional is PBE-GGA.

Calculated values
The density of states at the Fermi level is 5.3 states/eV/cell. As for the crystal system: tetragonal. Its calculated volume is 22.86 A^3/atom. The formation energy from the elements comes out at -0.95 eV per atom.

Unit cell a=3.954 b=3.954 c=10.237 alpha=90.00 beta=90.00 gamma=90.00
Space group P-4m2 (No. 115)
One atom of each set of equivalent atoms:
Li (0.000, 0.000, 0.000)
Ce (0.000, 0.500, 0.732)
As (0.000, 0.000, 0.500)
As (0.000, 0.500, 0.173)
As (0.500, 0.500, 0.500)

This record from the Alexandria database describes a relaxed LiCeAs2 crystal. The functional is PBE-GGA.

Calculated values
The energy relative to the lowest polymorph listed for this composition comes out at 0.172 eV per atom. The density of states at the Fermi level is 9.3 states/eV/cell. As for the crystal system: trigonal. Its calculated volume is 23.00 A^3/atom. The formation energy from the elements comes out at -0.83 eV per atom.

Unit cell a=4.2179 b=4.2179 c=17.9155 alpha=90.00 beta=90.00 gamma=120.00
Space group R3m (No. 160, hexagonal axes)
One atom of each set of equivalent atoms:
Li (0.0000, 0.0000, 0.0000)
Ce (0.0000, 0.0000, 0.1812)
As (0.0000, 0.0000, 0.6063)
As (0.0000, 0.0000, 0.7533)

This record from the Alexandria database describes a relaxed LiCeAs2 crystal. The functional is PBE-GGA.

Calculated values
The energy relative to the lowest polymorph listed for this composition comes out at 0.171 eV per atom. The density of states at the Fermi level is 13.1 states/eV/cell. As for the crystal system: trigonal. Its calculated volume is 21.21 A^3/atom. The formation energy from the elements comes out at -0.83 eV per atom.

Unit cell a=4.5213 b=4.5213 c=14.3780 alpha=90.00 beta=90.00 gamma=120.00
Space group R-3m (No. 166, hexagonal axes)
One atom of each set of equivalent atoms:
Li (0.0000, 0.0000, 0.0000)
Ce (0.0000, 0.0000, 0.5000)
As (0.0000, 0.0000, 0.2589)

This record from the Alexandria database describes a relaxed LiCeAsN crystal. The functional is PBE-GGA.

Calculated values
The density of states at the Fermi level is 5.9 states/eV/cell. As for the crystal system: tetragonal. Its calculated volume is 18.24 A^3/atom. The final energy is -6.18 eV/atom.

Unit cell a=3.957 b=3.957 c=9.316 alpha=90.00 beta=90.00 gamma=90.00
Space group P4/nmm (No. 129, origin choice 2)
One atom of each set of equivalent atoms:
Li (0.250, 0.750, 0.000)
Ce (0.250, 0.250, 0.378)
As (0.250, 0.250, 0.814)
N (0.250, 0.750, 0.500)

This record from the Alexandria database describes a relaxed LiCe2Ni4As3 crystal. The functional is PBE-GGA.

Calculated values
The density of states at the Fermi level is 9.7 states/eV/cell. As for the crystal system: tetragonal. Its calculated volume is 16.11 A^3/atom. The formation energy from the elements comes out at -0.78 eV per atom.

Unit cell a=4.063 b=4.063 c=9.757 alpha=90.00 beta=90.00 gamma=90.00
Space group P-4m2 (No. 115)
One atom of each set of equivalent atoms:
Li (0.000, 0.000, 0.000)
Ce (0.000, 0.500, 0.745)
Ni (0.000, 0.000, 0.500)
Ni (0.000, 0.500, 0.130)
Ni (0.500, 0.500, 0.500)
As (0.000, 0.500, 0.368)
As (0.500, 0.500, 0.000)

This record from the Alexandria database describes a relaxed Li2CeAsO6 crystal. The functional is PBE-GGA.

Calculated values
The density of states at the Fermi level is 17.1 states/eV/cell. As for the crystal system: trigonal. Its calculated volume is 11.59 A^3/atom. The final energy is -6.39 eV/atom.

Unit cell a=5.1264 b=5.1264 c=15.2818 alpha=90.00 beta=90.00 gamma=120.00
Space group R-3 (No. 148, hexagonal axes)
One atom of each set of equivalent atoms:
Li (0.0000, 0.0000, 0.1985)
Ce (0.0000, 0.0000, 0.0000)
As (0.0000, 0.0000, 0.5000)
O (0.0225, 0.3863, 0.2361)

This record from the Alexandria database describes a relaxed Li4CeAs3O12 crystal. The functional is PBE-GGA.

Calculated values
The density of states at the Fermi level is 23.3 states/eV/cell. As for the crystal system: cubic. Its calculated volume is 9.96 A^3/atom. The final energy is -5.85 eV/atom.

Unit cell a=7.359 b=7.359 c=7.359 alpha=90.00 beta=90.00 gamma=90.00
Space group Im-3 (No. 204)
One atom of each set of equivalent atoms:
Li (0.250, 0.250, 0.250)
Ce (0.000, 0.000, 0.000)
As (0.000, 0.000, 0.500)
O (0.000, 0.322, 0.163)

This record from the Alexandria database describes a relaxed Li2CeAs2O crystal. The functional is PBE-GGA.

Calculated values
The density of states at the Fermi level is 3.4 states/eV/cell. As for the crystal system: tetragonal. Its calculated volume is 15.70 A^3/atom. The final energy is -5.27 eV/atom.

Unit cell a=4.110 b=4.110 c=5.576 alpha=90.00 beta=90.00 gamma=90.00
Space group P4/mmm (No. 123)
One atom of each set of equivalent atoms:
Li (0.000, 0.500, 0.000)
Ce (0.000, 0.000, 0.500)
As (0.500, 0.500, 0.291)
O (0.000, 0.000, 0.000)

This record from the Alexandria database describes a relaxed LiCeAs2O8 crystal. The functional is PBE-GGA.

Calculated values
The density of states at the Fermi level is 16.2 states/eV/cell. As for the crystal system: tetragonal. Its calculated volume is 12.08 A^3/atom. The final energy is -6.45 eV/atom.

Unit cell a=5.077 b=5.077 c=11.248 alpha=90.00 beta=90.00 gamma=90.00
Space group I-4 (No. 82)
One atom of each set of equivalent atoms:
Li (0.000, 0.000, 0.000)
Ce (0.000, 0.500, 0.750)
As (0.000, 0.000, 0.500)
As (0.000, 0.500, 0.250)
O (0.148, 0.248, 0.582)
O (0.151, 0.749, 0.171)

This record from the Alexandria database describes a relaxed LiCe2PaAs4 crystal. The functional is PBE-GGA.

Calculated values
The density of states at the Fermi level is 11.6 states/eV/cell. As for the crystal system: monoclinic. Its calculated volume is 25.14 A^3/atom. The formation energy from the elements comes out at -1.06 eV per atom.

Unit cell a=7.102 b=4.192 c=7.167 alpha=90.00 beta=109.47 gamma=90.00
Space group P2/m (No. 10)
One atom of each set of equivalent atoms:
Li (0.000, 0.000, 0.000)
Ce (0.000, 0.500, 0.500)
Ce (0.500, 0.000, 0.500)
Pa (0.500, 0.500, 0.000)
As (0.255, 0.000, 0.761)
As (0.257, 0.500, 0.244)